HgPdSCl2: relaxed, GGA-PBE.

Summary:
space group	No. 123
ΔE_f (raw)	8	meV/atom
E above lowest polymorph	0.0	meV/atom

Cell: 4.8362 4.8362 4.8500 Å, 90.00 90.00 90.00°
Positions (direct):
Hg 0.0000 0.0000 0.0000
Pd 0.5000 0.5000 0.5000
S 0.5000 0.5000 0.0000
Cl 0.0000 0.5000 0.5000
Cl 0.5000 0.0000 0.5000